Entry 1:
Below is BaGa2ReTc after structural relaxation, with properties calculated at the PBE level.

Lattice parameters (Å, degrees): 4.9306 5.6782 4.9306 90.00 90.00 90.00
Last column: nearest neighbours and their distance in Å.
Positions (direct):
Ga (0.5000, 0.0000, 0.0000)  2 Re 2.47
Ga (0.0000, 0.0000, 0.5000)  2 Re 2.47
Tc (0.5000, 0.5000, 0.5000)  4 Ba 3.49, 8 Ga 3.76
Ba (0.0000, 0.5000, 0.0000)  2 Re 2.84
Re (0.0000, 0.0000, 0.0000)  4 Ga 2.47

Results
Size of the total moment = 4.396 μB/cell
Calculated formation energy = 1.21 eV/atom

---

Entry 2:
Below is BaTi2GaRe after structural relaxation, with properties calculated at the PBE level.

Lattice parameters (Å, degrees): 4.9143 5.3066 4.9143 90.00 90.00 90.00
Last column: nearest neighbours and their distance in Å.
Positions (direct):
Ti (0.5000, 0.0000, 0.0000)  2 Ba 2.46
Ti (0.0000, 0.0000, 0.5000)  2 Ba 2.46
Ba (0.0000, 0.0000, 0.0000)  4 Ti 2.46, 2 Ga 2.65
Ga (0.0000, 0.5000, 0.0000)  2 Ba 2.65
Re (0.5000, 0.5000, 0.5000)  4 Ga 3.47, 8 Ti 3.62

Results
Size of the total moment = 2.353 μB/cell
Calculated formation energy = 2.52 eV/atom

---

Entry 3:
Below is Ba2ZnGaRe after structural relaxation, with properties calculated at the PBE level.

Lattice parameters (Å, degrees): 6.2369 4.5337 6.2369 90.00 90.00 90.00
Last column: nearest neighbours and their distance in Å.
Positions (direct):
Re (0.5000, 0.5000, 0.5000)  8 Ba 3.86
Ba (0.0000, 0.0000, 0.5000)  2 Zn 3.12
Ba (0.5000, 0.0000, 0.0000)  2 Zn 3.12
Ga (0.0000, 0.5000, 0.0000)  2 Zn 2.27
Zn (0.0000, 0.0000, 0.0000)  2 Ga 2.27

Results
Size of the total moment = 3.775 μB/cell
Calculated formation energy = 0.98 eV/atom

---

Entry 4:
Below is BaZnGa2Re after structural relaxation, with properties calculated at the PBE level.

Lattice parameters (Å, degrees): 4.9246 4.9246 5.0254 90.00 90.00 90.00
Last column: nearest neighbours and their distance in Å.
Positions (direct):
Re (0.0000, 0.0000, 0.0000)  4 Ga 2.46, 2 Zn 2.51
Ba (0.5000, 0.5000, 0.5000)  4 Zn 3.48, 8 Ga 3.52
Zn (0.0000, 0.0000, 0.5000)  2 Re 2.51
Ga (0.0000, 0.5000, 0.0000)  2 Re 2.46
Ga (0.5000, 0.0000, 0.0000)  2 Re 2.46

Results
Size of the total moment = 0.000 μB/cell
Calculated formation energy = -0.19 eV/atom